DFT (PBE) results for crystalline LaTa2Tl at its relaxed geometry.

Cell lengths 3.012, 3.012, 10.001 Å; angles 90.00, 90.00, 90.00 degrees
Positions (direct):
1 La 0.000 0.000 0.000
2 Ta 0.500 0.500 0.272
3 Ta 0.500 0.500 0.728
4 Tl 0.000 0.000 0.500

- E_form (meV/atom) = 646
- calculated volume (Å³ per atom) = 22.7
- magnetization (μB/cell) = 0.00
- space group = No. 123

=====

DFT (PBE) results for crystalline Zn3BH at its relaxed geometry.

Cell lengths 4.128, 4.128, 4.128 Å; angles 90.00, 90.00, 90.00 degrees
Positions (direct):
1 Zn 0.000 0.000 0.500
2 Zn 0.000 0.500 0.000
3 Zn 0.500 0.000 0.000
4 B 0.000 0.000 0.000
5 H 0.500 0.500 0.500

- calculated volume (Å³ per atom) = 14.1
- magnetization (μB/cell) = 0.00
- E (eV for the cell shown) = -11.6
- space group = No. 221

=====

DFT (PBE) results for crystalline CaPmHgPt at its relaxed geometry.

Cell lengths 7.304, 7.304, 7.304 Å; angles 90.00, 90.00, 90.00 degrees
Positions (direct):
1 Ca 0.000 0.000 0.000
2 Ca 0.000 0.500 0.500
3 Ca 0.500 0.000 0.500
4 Ca 0.500 0.500 0.000
5 Pm 0.000 0.000 0.500
6 Pm 0.000 0.500 0.000
7 Pm 0.500 0.000 0.000
8 Pm 0.500 0.500 0.500
9 Hg 0.250 0.250 0.750
10 Hg 0.250 0.750 0.250
11 Hg 0.750 0.250 0.250
12 Hg 0.750 0.750 0.750
13 Pt 0.250 0.250 0.250
14 Pt 0.250 0.750 0.750
15 Pt 0.750 0.250 0.750
16 Pt 0.750 0.750 0.250

- E_form (meV/atom) = -743
- calculated volume (Å³ per atom) = 24.4
- magnetization (μB/cell) = 0.00
- space group = No. 216

=====

DFT (PBE) results for crystalline Na2Ga3AgAu12 at its relaxed geometry.

Cell lengths 7.108, 7.108, 7.108 Å; angles 84.49, 84.49, 84.49 degrees
Positions (direct):
1 Na 0.121 0.121 0.121
2 Na 0.879 0.879 0.879
3 Ga 0.000 0.500 0.500
4 Ga 0.500 0.000 0.500
5 Ga 0.500 0.500 0.000
6 Ag 0.500 0.500 0.500
7 Au 0.119 0.119 0.573
8 Au 0.119 0.573 0.119
9 Au 0.189 0.694 0.694
10 Au 0.306 0.306 0.811
11 Au 0.306 0.811 0.306
12 Au 0.427 0.881 0.881
13 Au 0.573 0.119 0.119
14 Au 0.694 0.189 0.694
15 Au 0.694 0.694 0.189
16 Au 0.811 0.306 0.306
17 Au 0.881 0.427 0.881
18 Au 0.881 0.881 0.427

- E_form (meV/atom) = -75
- calculated volume (Å³ per atom) = 19.7
- magnetization (μB/cell) = 0.00
- space group = No. 166

=====

DFT (PBE) results for crystalline MgTlW at its relaxed geometry.

Cell lengths 2.990, 3.969, 9.791 Å; angles 90.00, 90.00, 90.00 degrees
Positions (direct):
1 Mg 0.000 0.000 0.000
2 Mg 0.500 0.500 0.500
3 Tl 0.000 0.000 0.675
4 Tl 0.500 0.500 0.175
5 W 0.000 0.000 0.349
6 W 0.500 0.500 0.849

- E_form (meV/atom) = 797
- calculated volume (Å³ per atom) = 19.4
- magnetization (μB/cell) = 0.00
- space group = No. 44

=====

DFT (PBE) results for crystalline Y3Tm2ScTe6 at its relaxed geometry.

Cell lengths 9.653, 9.653, 8.665 Å; angles 103.33, 103.33, 25.72 degrees
Positions (direct):
1 Y 0.000 0.000 0.000
2 Y 0.330 0.330 0.664
3 Y 0.670 0.670 0.336
4 Tm 0.334 0.334 0.168
5 Tm 0.666 0.666 0.832
6 Sc 0.000 0.000 0.500
7 Te 0.162 0.162 0.585
8 Te 0.168 0.168 0.081
9 Te 0.500 0.500 0.260
10 Te 0.500 0.500 0.740
11 Te 0.832 0.832 0.919
12 Te 0.838 0.838 0.415

- calculated volume (Å³ per atom) = 28.4
- energy relative to the elements, uncorrected (meV/atom) = -1227
- magnetization (μB/cell) = 0.00
- space group = No. 12

=====

DFT (PBE) results for crystalline Li8Cu2Rh at its relaxed geometry.

Cell lengths 6.870, 6.870, 4.473 Å; angles 97.85, 97.85, 86.91 degrees
Positions (direct):
1 Li 0.136 0.671 0.706
2 Li 0.253 0.253 0.623
3 Li 0.329 0.864 0.294
4 Li 0.403 0.403 0.202
5 Li 0.597 0.597 0.798
6 Li 0.671 0.136 0.706
7 Li 0.747 0.747 0.377
8 Li 0.864 0.329 0.294
9 Cu 0.124 0.124 0.047
10 Cu 0.876 0.876 0.953
11 Rh 0.000 0.000 0.500

- E_form (meV/atom) = 82
- calculated volume (Å³ per atom) = 18.8
- magnetization (μB/cell) = 0.00
- space group = No. 12

=====

DFT (PBE) results for crystalline Sr4Ag2Rh at its relaxed geometry.

Cell lengths 5.638, 5.638, 16.331 Å; angles 90.00, 90.00, 90.00 degrees
Positions (direct):
1 Sr 0.000 0.000 0.181
2 Sr 0.000 0.000 0.819
3 Sr 0.000 0.500 0.000
4 Sr 0.000 0.500 0.500
5 Sr 0.500 0.000 0.000
6 Sr 0.500 0.000 0.500
7 Sr 0.500 0.500 0.319
8 Sr 0.500 0.500 0.681
9 Ag 0.000 0.000 0.380
10 Ag 0.000 0.000 0.620
11 Ag 0.500 0.500 0.120
12 Ag 0.500 0.500 0.880
13 Rh 0.000 0.000 0.000
14 Rh 0.500 0.500 0.500

- E_form (meV/atom) = -135
- calculated volume (Å³ per atom) = 37.1
- magnetization (μB/cell) = 0.00
- space group = No. 139

=====

DFT (PBE) results for crystalline Fe7Pt2Rh3 at its relaxed geometry.

Cell lengths 10.497, 10.497, 4.084 Å; angles 90.00, 90.00, 156.97 degrees
Positions (direct):
1 Fe 0.000 0.000 0.000
2 Fe 0.074 0.926 0.500
3 Fe 0.279 0.721 0.000
4 Fe 0.428 0.572 0.000
5 Fe 0.572 0.428 0.000
6 Fe 0.721 0.279 0.000
7 Fe 0.926 0.074 0.500
8 Pt 0.151 0.849 0.000
9 Pt 0.849 0.151 0.000
10 Rh 0.350 0.650 0.500
11 Rh 0.500 0.500 0.500
12 Rh 0.650 0.350 0.500

- E_form (meV/atom) = 117
- calculated volume (Å³ per atom) = 14.7
- magnetization (μB/cell) = 24.55
- space group = No. 65

=====

DFT (PBE) results for crystalline LiLuScPb at its relaxed geometry.

Cell lengths 7.199, 7.199, 7.199 Å; angles 90.00, 90.00, 90.00 degrees
Positions (direct):
1 Li 0.000 0.000 0.000
2 Li 0.000 0.500 0.500
3 Li 0.500 0.000 0.500
4 Li 0.500 0.500 0.000
5 Lu 0.250 0.250 0.750
6 Lu 0.250 0.750 0.250
7 Lu 0.750 0.250 0.250
8 Lu 0.750 0.750 0.750
9 Sc 0.250 0.250 0.250
10 Sc 0.250 0.750 0.750
11 Sc 0.750 0.250 0.750
12 Sc 0.750 0.750 0.250
13 Pb 0.000 0.000 0.500
14 Pb 0.000 0.500 0.000
15 Pb 0.500 0.000 0.000
16 Pb 0.500 0.500 0.500

- E_form (meV/atom) = -198
- calculated volume (Å³ per atom) = 23.3
- magnetization (μB/cell) = 0.06
- space group = No. 216

=====

DFT (PBE) results for crystalline MgAsAu at its relaxed geometry.

Cell lengths 4.532, 4.532, 9.942 Å; angles 90.00, 90.00, 120.00 degrees
Positions (direct):
1 Mg 0.000 0.000 0.250
2 Mg 0.000 0.000 0.750
3 As 0.000 0.000 0.000
4 As 0.000 0.000 0.500
5 Au 0.333 0.667 0.250
6 Au 0.667 0.333 0.750

- E_form (meV/atom) = 572
- calculated volume (Å³ per atom) = 29.5
- magnetization (μB/cell) = 0.00
- space group = No. 194

=====

DFT (PBE) results for crystalline ErZnCuAg at its relaxed geometry.

Cell lengths 6.636, 6.636, 6.636 Å; angles 90.00, 90.00, 90.00 degrees
Positions (direct):
1 Er 0.000 0.000 0.000
2 Er 0.000 0.500 0.500
3 Er 0.500 0.000 0.500
4 Er 0.500 0.500 0.000
5 Zn 0.000 0.000 0.500
6 Zn 0.000 0.500 0.000
7 Zn 0.500 0.000 0.000
8 Zn 0.500 0.500 0.500
9 Cu 0.250 0.250 0.250
10 Cu 0.250 0.750 0.750
11 Cu 0.750 0.250 0.750
12 Cu 0.750 0.750 0.250
13 Ag 0.250 0.250 0.750
14 Ag 0.250 0.750 0.250
15 Ag 0.750 0.250 0.250
16 Ag 0.750 0.750 0.750

- E_form (meV/atom) = -186
- calculated volume (Å³ per atom) = 18.3
- magnetization (μB/cell) = 0.00
- space group = No. 216